Pr2Sm2CI5 | GGA-PBE | relaxed

Unit cell a=9.9224 b=9.9224 c=8.9189 alpha=102.42 beta=102.42 gamma=23.84
Last column: nearest neighbours and their distance in Å.
Atoms (fractional coordinates):
I  0.5000  0.5000  0.5000  4 Pr 3.40
I  0.1714  0.1714  0.8283  2 Sm 3.16, 1 Pr 3.26
Pr  0.9987  0.9987  0.1958  2 C 2.70
I  0.8341  0.8341  0.6623  2 Sm 3.13, 1 Pr 3.21
Pr  0.0013  0.0013  0.8042  2 C 2.70
I  0.8286  0.8286  0.1717  2 Sm 3.16, 1 Pr 3.26
I  0.1659  0.1659  0.3377  2 Sm 3.13, 1 Pr 3.21
Sm  0.6316  0.6316  0.0659  1 C 2.49
Sm  0.3684  0.3684  0.9341  1 C 2.49
C  0.5000  0.5000  0.0000  2 Sm 2.49, 4 Pr 2.70

Final energy = -4.719 eV per atom
Total magnetization = 0.3 μB/f.u.
Relative energy among the computed polymorphs = 0.000 eV per atom
SG = C2/m



Dy2ErAl7Ag2 | GGA-PBE | relaxed

Unit cell a=9.3241 b=9.3241 c=9.3241 alpha=34.55 beta=34.55 gamma=34.55
Last column: nearest neighbours and their distance in Å.
Atoms (fractional coordinates):
Al  0.9242  0.4121  0.4121  2 Ag 2.69-2.75, 5 Al 2.70-2.84
Al  0.5879  0.0758  0.5879  2 Ag 2.69-2.75, 5 Al 2.70-2.84
Al  0.4121  0.4121  0.9242  2 Ag 2.69-2.75, 5 Al 2.70-2.84
Al  0.0758  0.5879  0.5879  2 Ag 2.69-2.75, 5 Al 2.70-2.84
Er  0.0000  0.0000  0.0000  6 Ag 3.20, 12 Al 3.54
Dy  0.8577  0.8577  0.8577  12 Al 3.17-3.26, 3 Dy 3.44
Ag  0.3358  0.3358  0.3358  6 Al 2.69-2.75
Dy  0.1423  0.1423  0.1423  12 Al 3.17-3.26, 3 Dy 3.44
Ag  0.6642  0.6642  0.6642  6 Al 2.69-2.75
Al  0.4121  0.9242  0.4121  2 Ag 2.69-2.75, 5 Al 2.70-2.84
Al  0.5879  0.5879  0.0758  2 Ag 2.69-2.75, 5 Al 2.70-2.84
Al  0.5000  0.5000  0.5000  6 Al 2.72

Final energy = -4.247 eV per atom
Total magnetization = 0.0 μB/f.u.
SG = R-3m



LuThTl | GGA-PBE | relaxed

Unit cell a=5.1987 b=5.1987 c=5.1987 alpha=60.00 beta=60.00 gamma=60.00
Last column: nearest neighbours and their distance in Å.
Atoms (fractional coordinates):
Lu  0.2500  0.2500  0.2500  4 Tl 3.18
Th  0.7500  0.7500  0.7500  4 Tl 3.18
Tl  0.0000  0.0000  0.0000  4 Th 3.18, 4 Lu 3.18

Final energy = -4.568 eV per atom
Total magnetization = 0.2 μB/f.u.
SG = F-43m